(i)
An optimized crystal structure of Pm8PdPt2. Source: Alexandria via LeMat-Bulk, functional PBE-GGA.

The structure belongs to space group C2/m (No. 12); the cell edges are 17.8460, 5.0765 and 7.0078 Å and the angles 90.00°, 100.19° and 90.00°. The inequivalent atoms are Pm at (0.0343, 0.0000, 0.2747), Pm at (0.0885, 0.5000, 0.9476), Pm at (0.1661, 0.5000, 0.4672), Pm at (0.2031, 0.0000, 0.8338), Pd at (0.0000, 0.5000, 0.5000) and Pt at (0.1985, 0.0000, 0.2410).

The value obtained for the total moment is 0.0 μB/f.u.

(ii)
An optimized crystal structure of Pm8PdPt2. Source: Alexandria via LeMat-Bulk, functional PBE-GGA.

The structure belongs to space group Cm (No. 8); the cell edges are 8.6046, 12.8656 and 6.2685 Å and the angles 90.00°, 108.64° and 90.00°. The inequivalent atoms are Pm at (0.0000, 0.0000, 0.0000), Pm at (0.0698, 0.3692, 0.7924), Pm at (0.1468, 0.1313, 0.5639), Pm at (0.2242, 0.5000, 0.3715), Pm at (0.3565, 0.2142, 0.1830), Pd at (0.3707, 0.0000, 0.3699) and Pt at (0.3602, 0.3141, 0.6881).

The value obtained for the total moment is 0.0 μB/f.u.

Unit: eV/atom. Relative energies: (i) 0.000; (ii) 0.095.

(i)
An optimized crystal structure of Pm6Pd2Pt. Source: Alexandria via LeMat-Bulk, functional PBE-GGA.

The structure belongs to space group P2_1/c (No. 14); the cell edges are 6.7279, 7.4801 and 12.1485 Å and the angles 90.00°, 120.25° and 90.00°. The inequivalent atoms are Pm at (0.0892, 0.1870, 0.4290), Pm at (0.2532, 0.6697, 0.4260), Pm at (0.4019, 0.0438, 0.2419), Pd at (0.1696, 0.1165, 0.7315) and Pt at (0.5000, 0.0000, 0.5000).

The value obtained for the total moment is 0.0 μB/f.u.

(ii)
An optimized crystal structure of Pm6Pd2Pt. Source: Alexandria via LeMat-Bulk, functional PBE-GGA.

The structure belongs to space group Immm (No. 71); the cell edges are 9.7472, 9.9845 and 10.0883 Å and the angles 90.00°, 90.00° and 90.00°. The inequivalent atoms are Pm at (0.0000, 0.1834, 0.2456), Pm at (0.2016, 0.5000, 0.3327), Pm at (0.2345, 0.3292, 0.0000), Pd at (0.0000, 0.3421, 0.5000), Pd at (0.0000, 0.5000, 0.1315), Pt at (0.0000, 0.0000, 0.0000) and Pt at (0.0000, 0.0000, 0.5000).

The value obtained for the total moment is 0.0 μB/f.u.

Unit: eV/atom. Relative energies: (i) 0.008; (ii) 0.000.

(i)
An optimized crystal structure of PmPuPdPt. Source: Alexandria via LeMat-Bulk, functional PBE-GGA.

The structure belongs to space group Amm2 (No. 38); the cell edges are 4.3627, 3.9032 and 11.0296 Å and the angles 90.00°, 90.00° and 90.00°. The inequivalent atoms are Pm at (0.0000, 0.0000, 0.0000), Pu at (0.5000, 0.0000, 0.7242), Pd at (0.5000, 0.0000, 0.4460) and Pt at (0.0000, 0.0000, 0.2694).

The value obtained for the total moment is 5.6 μB/f.u.

(ii)
An optimized crystal structure of PmPuPdPt. Source: Alexandria via LeMat-Bulk, functional PBE-GGA.

The structure belongs to space group F-43m (No. 216); the cell edges are 7.1109, 7.1109 and 7.1109 Å and the angles 90.00°, 90.00° and 90.00°. The inequivalent atoms are Pm at (0.0000, 0.0000, 0.0000), Pu at (0.0000, 0.0000, 0.5000), Pd at (0.2500, 0.2500, 0.2500) and Pt at (0.2500, 0.2500, 0.7500).

The value obtained for the total moment is 5.8 μB/f.u.

Unit: eV/atom. Relative energies: (i) 0.000; (ii) 0.066.